Computed, not measured: a geometry-optimized ZnWO2 structure at the PBE with a Hubbard U level of DFT.

* electronic total energy: -5.257 eV/atom
* V: 110.50 Å³ per cell

a b c (Å): 4.1529 4.1529 7.0478
angles (deg): 72.86 72.86 90.00
Closest atoms and distances in Å follow each position.
Atoms (fractional coordinates):
1 W 0.0000 0.0000 0.0000  4 O 2.08
2 O 0.3750 0.3231 0.7500  2 W 2.08, 2 Zn 2.28
3 O 0.8750 0.9269 0.7500  2 W 2.08, 2 Zn 2.28
4 Zn 0.5000 0.5000 0.0000  4 O 2.28
5 O 0.0731 0.6250 0.2500  2 W 2.08, 2 Zn 2.28
6 O 0.6769 0.1250 0.2500  2 W 2.08, 2 Zn 2.28
7 Zn 0.2500 0.7500 0.5000  4 O 2.28
8 W 0.7500 0.2500 0.5000  4 O 2.08